Entry 1:
# KMgNb PBE relaxed
data_KMgNb
_chemical_formula_sum 'K2 Mg2 Nb2'
_space_group_name_H-M_alt 'P 1'
_space_group_IT_number 1
_cell_length_a 3.399
_cell_length_b 4.971
_cell_length_c 12.547
_cell_angle_alpha 101.32
_cell_angle_beta 90.16
_cell_angle_gamma 90.00
loop_
_space_group_symop_operation_xyz
'x,y,z'
loop_
_atom_site_label
_atom_site_type_symbol
_atom_site_fract_x
_atom_site_fract_y
_atom_site_fract_z
K1 K 0.000 0.000 0.000
K2 K 0.499 0.656 0.311
Mg1 Mg 0.010 0.380 0.757
Mg2 Mg 0.507 0.279 0.552
Nb1 Nb 0.007 0.792 0.578
Nb2 Nb 0.509 0.868 0.732
# Total magnetization = 0.0 μB/f.u.
# Energy above the most stable polymorph in this dataset = 0.127 eV/atom
# Final energy = -22.9 eV for the cell shown

***

Entry 2:
# KMgNb PBE relaxed
data_KMgNb
_chemical_formula_sum 'K4 Mg4 Nb4'
_space_group_name_H-M_alt 'P n m a'
_space_group_IT_number 62
_cell_length_a 9.809
_cell_length_b 3.197
_cell_length_c 12.602
_cell_angle_alpha 90.00
_cell_angle_beta 90.00
_cell_angle_gamma 90.00
loop_
_space_group_symop_operation_xyz
'x,y,z'
'-x,-y,-z'
'-x+1/2,-y,z+1/2'
'x+1/2,y,-z+1/2'
'x+1/2,-y+1/2,-z+1/2'
'-x+1/2,y+1/2,z+1/2'
'-x,y+1/2,-z'
'x,-y+1/2,z'
loop_
_atom_site_label
_atom_site_type_symbol
_atom_site_fract_x
_atom_site_fract_y
_atom_site_fract_z
K1 K 0.087 0.250 0.167
Mg1 Mg 0.239 0.750 0.410
Nb1 Nb 0.062 0.250 0.562
# Total magnetization = 0.0 μB/f.u.
# Energy above the most stable polymorph in this dataset = 0.349 eV/atom
# Final energy = -43.1 eV for the cell shown

***

Entry 3:
# KMg2Nb2O7 PBE relaxed
data_KMg2Nb2O7
_chemical_formula_sum 'K2 Mg4 Nb4 O14'
_space_group_name_H-M_alt 'I 4/m m m'
_space_group_IT_number 139
_space_group_name_Hall '-I 4 2'
_cell_length_a 4.083
_cell_length_b 4.083
_cell_length_c 17.604
_cell_angle_alpha 90.00
_cell_angle_beta 90.00
_cell_angle_gamma 90.00
loop_
_atom_site_label
_atom_site_type_symbol
_atom_site_fract_x
_atom_site_fract_y
_atom_site_fract_z
K1 K 0.000 0.000 0.000
Mg1 Mg 0.000 0.500 0.250
Nb1 Nb 0.000 0.000 0.387
O1 O 0.000 0.000 0.265
O2 O 0.000 0.000 0.500
O3 O 0.000 0.500 0.121
# Total magnetization = 0.0 μB/f.u.
# Formation energy without anion corrections = -2.5335 eV/atom
# Final energy = -179.1 eV for the cell shown

***

Entry 4:
# K2MgNbO PBE relaxed
data_K2MgNbO
_chemical_formula_sum 'K2 Mg1 Nb1 O1'
_space_group_name_H-M_alt 'P 4/m m m'
_space_group_IT_number 123
_space_group_name_Hall '-P 4 2'
_cell_length_a 6.614
_cell_length_b 6.614
_cell_length_c 5.595
_cell_angle_alpha 90.00
_cell_angle_beta 90.00
_cell_angle_gamma 90.00
loop_
_atom_site_label
_atom_site_type_symbol
_atom_site_fract_x
_atom_site_fract_y
_atom_site_fract_z
K1 K 0.000 0.500 0.000
Mg1 Mg 0.000 0.000 0.500
Nb1 Nb 0.000 0.000 0.000
O1 O 0.500 0.500 0.500
# Total magnetization = 6.1 μB/f.u.
# Formation energy without anion corrections = 1.3041 eV/atom
# Final energy = -12.3 eV for the cell shown